Entry 1:
Cu2Tc2I | PBE | optimized geometry

The space group is I4/mmm (No. 139) and the conventional cell measures 3.6389, 3.6389 and 12.4997 Å, with angles of 90.00, 90.00 and 90.00 degrees. The asymmetric unit holds Cu at (0.0000, 0.5000, 0.2500), Tc at (0.0000, 0.0000, 0.1024) and I at (0.0000, 0.0000, 0.5000).

The calculation puts the total magnetization at 0.00 μB/cell. As for the excess energy over the best structure of this formula in the dataset: 96 meV per atom.


Entry 2:
Pm2PrMgHg4 | PBE | optimized geometry

The space group is R-3m (No. 166, hexagonal axes) and the conventional cell measures 5.2280, 5.2280 and 26.9972 Å, with angles of 90.00, 90.00 and 120.00 degrees. The asymmetric unit holds Pm at (0.0000, 0.0000, 0.2424), Pr at (0.0000, 0.0000, 0.0000), Mg at (0.0000, 0.0000, 0.5000), Hg at (0.0000, 0.0000, 0.1259) and Hg at (0.0000, 0.0000, 0.3776).

The calculation puts the total magnetization at 0.00 μB/cell. The calculation puts the total energy at -2.5874 eV/atom.


Entry 3:
InAg2S3 | PBE | optimized geometry

The space group is Fdd2 (No. 43) and the conventional cell measures 8.2212, 24.6915 and 11.5925 Å, with angles of 90.00, 90.00 and 90.00 degrees. The asymmetric unit holds In at (0.0095, 0.1674, 0.0000), Ag at (0.0000, 0.0000, 0.4991), Ag at (0.0000, 0.0000, 0.9956), Ag at (0.0052, 0.3334, 0.0035), S at (0.0017, 0.2503, 0.6241), S at (0.0045, 0.0827, 0.6234) and S at (0.0063, 0.0845, 0.1272).

The calculation puts the total magnetization at 0.00 μB/cell. The calculation puts the total energy at -3.7013 eV/atom.